[1]
Density functional theory data (GGA-PBE) for a geometry-optimized Li2Ho2TmPb2 structure.

Calculated values
- formation enthalpy at 0 K (meV/atom) = -278
- final energy (eV for the cell shown) = -26.81
- D(E_F) (states/eV per cell) = 4.6

Cell lengths 9.231, 9.231, 9.231 Å; angles 30.28, 30.28, 30.28 degrees
Atoms (fractional coordinates):
Li 0.099 0.099 0.099
Li 0.901 0.901 0.901
Ho 0.371 0.371 0.371
Ho 0.629 0.629 0.629
Tm 0.500 0.500 0.500
Pb 0.235 0.235 0.235
Pb 0.765 0.765 0.765

---

[2]
Density functional theory data (GGA-PBE) for a geometry-optimized K3GaSb2 structure.

Calculated values
- final energy (eV for the cell shown) = -67.64
- energy relative to the elements, uncorrected (meV/atom) = -391
- D(E_F) (states/eV per cell) = 5.8

Cell lengths 13.648, 4.699, 14.724 Å; angles 90.00, 90.00, 90.00 degrees
Atoms (fractional coordinates):
K 0.067 0.250 0.114
K 0.120 0.750 0.559
K 0.179 0.250 0.799
K 0.321 0.750 0.299
K 0.380 0.250 0.059
K 0.433 0.750 0.614
K 0.567 0.250 0.386
K 0.620 0.750 0.941
K 0.679 0.250 0.701
K 0.821 0.750 0.201
K 0.880 0.250 0.441
K 0.933 0.750 0.886
Ga 0.144 0.250 0.373
Ga 0.356 0.750 0.873
Ga 0.644 0.250 0.127
Ga 0.856 0.750 0.627
Sb 0.054 0.750 0.317
Sb 0.200 0.750 0.976
Sb 0.300 0.250 0.476
Sb 0.446 0.250 0.817
Sb 0.554 0.750 0.183
Sb 0.700 0.750 0.524
Sb 0.800 0.250 0.024
Sb 0.946 0.250 0.683

---

[3]
Density functional theory data (GGA-PBE) for a geometry-optimized Os2PtF structure.

Calculated values
- distance to the lowest polymorph of the same formula (meV/atom) = 183
- final energy (eV for the cell shown) = -109.15
- energy relative to the elements, uncorrected (meV/atom) = 771
- D(E_F) (states/eV per cell) = 18.4

Cell lengths 6.627, 6.627, 5.147 Å; angles 90.00, 90.00, 90.00 degrees
Atoms (fractional coordinates):
Os 0.200 0.250 0.125
Os 0.250 0.700 0.375
Os 0.250 0.800 0.875
Os 0.300 0.250 0.625
Os 0.700 0.750 0.625
Os 0.750 0.200 0.875
Os 0.750 0.300 0.375
Os 0.800 0.750 0.125
Pt 0.000 0.000 0.500
Pt 0.000 0.500 0.750
Pt 0.500 0.000 0.250
Pt 0.500 0.500 0.000
F 0.000 0.000 0.000
F 0.000 0.500 0.250
F 0.500 0.000 0.750
F 0.500 0.500 0.500

---

- Look up the final energy of the second one.
  -67.64 eV for the cell shown

---

- The highest D(E_F) belongs to which entry?
  Os2PtF

---

- Which of these has the highest D(E_F)?
  Os2PtF